Arrangement 1

Material: AlRuSN2
Method: DFT, GGA-PBE
State: optimized geometry

Properties
- D(E_F) (states/eV/atom) = 0.611
- total moment (μB per formula unit) = 0.2
- theoretical density (g/cm³) = 4.3
- SG = P4/mmm, No. 123

Cell and atoms, written as POSCAR:
```
AlRuSN2
1.0
3.777 0.000 0.000
0.000 3.777 0.000
0.000 0.000 5.098
Al Ru S N
1 1 1 2
Cartesian
0.000 0.000 0.000
1.888 1.888 2.549
1.888 1.888 0.000
0.000 1.888 2.549
1.888 0.000 2.549
```

Arrangement 2

Material: AlRuSN2
Method: DFT, GGA-PBE
State: optimized geometry

Properties
- D(E_F) (states/eV/atom) = 1.213
- total moment (μB per formula unit) = 1.3
- theoretical density (g/cm³) = 4.9
- SG = P4/mmm, No. 123

Cell and atoms, written as POSCAR:
```
AlRuSN2
1.0
3.675 0.000 0.000
0.000 3.675 0.000
0.000 0.000 4.730
Al Ru S N
1 1 1 2
Cartesian
0.000 0.000 0.000
1.838 1.838 2.365
0.000 0.000 2.365
0.000 1.838 0.000
1.838 0.000 0.000
```

Unit: eV/atom. Relative energies: arrangement 1 0.000; arrangement 2 0.367.

Arrangement 1

Material: AlS3N
Method: DFT, GGA-PBE
State: optimized geometry

Properties
- D(E_F) (states/eV/atom) = 0.784
- total moment (μB per formula unit) = 0.0
- theoretical density (g/cm³) = 3.3
- SG = Pm-3m, No. 221

Cell and atoms, written as POSCAR:
```
AlS3N
1.0
4.112 0.000 0.000
0.000 4.112 0.000
0.000 0.000 4.112
Al S N
1 3 1
Cartesian
0.000 0.000 0.000
0.000 2.056 2.056
2.056 0.000 2.056
2.056 2.056 0.000
2.056 2.056 2.056
```

Arrangement 2

Material: AlS3N
Method: DFT, GGA-PBE
State: optimized geometry

Properties
- D(E_F) (states/eV/atom) = 0.917
- total moment (μB per formula unit) = 1.5
- theoretical density (g/cm³) = 2.3
- SG = Pm-3m, No. 221

Cell and atoms, written as POSCAR:
```
AlS3N
1.0
4.610 0.000 0.000
0.000 4.610 0.000
0.000 0.000 4.610
Al S N
1 3 1
Cartesian
0.000 0.000 0.000
0.000 0.000 2.305
0.000 2.305 0.000
2.305 0.000 0.000
2.305 2.305 2.305
```

Unit: eV/atom. Relative energies: arrangement 1 0.000; arrangement 2 0.286.